# 1
VASP calculation (PBE-GGA) on an optimized crystal structure of Li3Cu2Pd7.

Lattice parameters (Å, degrees): 4.571 4.775 9.262 104.22 90.56 109.05
Atoms (fractional coordinates):
Li  0.000  0.000  0.000
Li  0.428  0.181  0.647
Li  0.572  0.819  0.353
Cu  0.140  0.215  0.300
Cu  0.860  0.785  0.700
Pd  0.039  0.624  0.174
Pd  0.274  0.576  0.570
Pd  0.432  0.909  0.851
Pd  0.500  0.500  0.000
Pd  0.568  0.091  0.149
Pd  0.726  0.424  0.430
Pd  0.961  0.376  0.826

Total magnetization, μB/f.u.: 0.00
Energy relative to the elements, eV per atom: -0.128
Density of states at the Fermi level, states/eV/cell: 11.62

***

# 2
VASP calculation (PBE-GGA) on an optimized crystal structure of Li3Cu2Pd4.

Lattice parameters (Å, degrees): 7.475 7.475 4.766 96.17 96.17 72.89
Atoms (fractional coordinates):
Li  0.004  0.996  0.750
Li  0.325  0.462  0.530
Li  0.462  0.325  0.030
Li  0.538  0.675  0.970
Li  0.675  0.538  0.470
Li  0.996  0.004  0.250
Cu  0.130  0.362  0.093
Cu  0.362  0.130  0.593
Cu  0.638  0.870  0.407
Cu  0.870  0.638  0.907
Pd  0.012  0.318  0.566
Pd  0.201  0.676  0.983
Pd  0.318  0.012  0.066
Pd  0.324  0.799  0.517
Pd  0.676  0.201  0.483
Pd  0.682  0.988  0.934
Pd  0.799  0.324  0.017
Pd  0.988  0.682  0.434

Energy above the lowest structure with this stoichiometry, eV/f.u.: 0.55
Total magnetization, μB/f.u.: 0.00
Energy relative to the elements, eV per atom: -0.239
Density of states at the Fermi level, states/eV/cell: 5.56

***

# 3
VASP calculation (PBE-GGA) on an optimized crystal structure of Li4CuPd5.

Lattice parameters (Å, degrees): 3.015 3.015 14.896 90.00 90.00 90.00
Atoms (fractional coordinates):
Li  0.000  0.000  0.100
Li  0.000  0.000  0.299
Li  0.000  0.000  0.701
Li  0.000  0.000  0.900
Cu  0.000  0.000  0.500
Pd  0.500  0.500  0.000
Pd  0.500  0.500  0.199
Pd  0.500  0.500  0.398
Pd  0.500  0.500  0.602
Pd  0.500  0.500  0.801

Total magnetization, μB/f.u.: 0.00
Energy relative to the elements, eV per atom: -0.356
Density of states at the Fermi level, states/eV/cell: 4.51

***

# 4
VASP calculation (PBE-GGA) on an optimized crystal structure of LiCu3Pd5.

Lattice parameters (Å, degrees): 7.899 7.899 7.899 132.61 132.61 69.27
Atoms (fractional coordinates):
Li  0.250  0.750  0.500
Li  0.750  0.250  0.500
Cu  0.121  0.621  0.742
Cu  0.250  0.250  0.000
Cu  0.379  0.121  0.500
Cu  0.621  0.879  0.500
Cu  0.750  0.750  0.000
Cu  0.879  0.379  0.258
Pd  0.000  0.000  0.000
Pd  0.065  0.147  0.500
Pd  0.147  0.647  0.083
Pd  0.353  0.435  0.500
Pd  0.435  0.935  0.083
Pd  0.500  0.500  0.000
Pd  0.565  0.065  0.917
Pd  0.647  0.565  0.500
Pd  0.853  0.353  0.917
Pd  0.935  0.853  0.500

Total magnetization, μB/f.u.: 0.00
Energy relative to the elements, eV per atom: 0.037
Density of states at the Fermi level, states/eV/cell: 13.86

***

# 5
VASP calculation (PBE-GGA) on an optimized crystal structure of Li8CuPd2.

Lattice parameters (Å, degrees): 7.006 7.006 6.385 111.88 111.88 35.07
Atoms (fractional coordinates):
Li  0.038  0.038  0.234
Li  0.149  0.149  0.701
Li  0.322  0.322  0.592
Li  0.391  0.391  0.049
Li  0.609  0.609  0.951
Li  0.678  0.678  0.408
Li  0.851  0.851  0.299
Li  0.962  0.962  0.766
Cu  0.500  0.500  0.500
Pd  0.219  0.219  0.149
Pd  0.781  0.781  0.851

Energy above the lowest structure with this stoichiometry, eV/f.u.: 0.00
Total magnetization, μB/f.u.: 0.00
Energy relative to the elements, eV per atom: -0.194
Density of states at the Fermi level, states/eV/cell: 2.93

***

# 6
VASP calculation (PBE-GGA) on an optimized crystal structure of Li8CuPd2.

Lattice parameters (Å, degrees): 4.358 4.358 8.941 90.00 90.00 90.00
Atoms (fractional coordinates):
Li  0.000  0.000  0.180
Li  0.000  0.000  0.820
Li  0.000  0.500  0.000
Li  0.000  0.500  0.349
Li  0.000  0.500  0.651
Li  0.500  0.000  0.000
Li  0.500  0.000  0.349
Li  0.500  0.000  0.651
Cu  0.500  0.500  0.500
Pd  0.500  0.500  0.182
Pd  0.500  0.500  0.818

Energy above the lowest structure with this stoichiometry, eV/f.u.: 0.24
Total magnetization, μB/f.u.: 0.00
Energy relative to the elements, eV per atom: -0.172
Density of states at the Fermi level, states/eV/cell: 3.30

***

# 7
VASP calculation (PBE-GGA) on an optimized crystal structure of Li3CuPd3.

Lattice parameters (Å, degrees): 7.115 7.115 4.519 90.00 90.00 120.00
Atoms (fractional coordinates):
Li  0.088  0.464  0.250
Li  0.376  0.912  0.250
Li  0.464  0.376  0.750
Li  0.536  0.624  0.250
Li  0.624  0.088  0.750
Li  0.912  0.536  0.750
Cu  0.333  0.667  0.750
Cu  0.667  0.333  0.250
Pd  0.054  0.253  0.750
Pd  0.199  0.946  0.750
Pd  0.253  0.199  0.250
Pd  0.747  0.801  0.750
Pd  0.801  0.054  0.250
Pd  0.946  0.747  0.250

Energy above the lowest structure with this stoichiometry, eV/f.u.: 0.11
Total magnetization, μB/f.u.: 0.00
Energy relative to the elements, eV per atom: -0.272
Density of states at the Fermi level, states/eV/cell: 5.63

***

# 8
VASP calculation (PBE-GGA) on an optimized crystal structure of LiCuPd2.

Lattice parameters (Å, degrees): 9.124 9.124 9.124 156.12 156.12 34.02
Atoms (fractional coordinates):
Li  0.000  0.000  0.000
Li  0.750  0.250  0.500
Cu  0.250  0.750  0.500
Cu  0.500  0.500  0.000
Pd  0.124  0.625  0.999
Pd  0.375  0.374  0.499
Pd  0.626  0.125  0.001
Pd  0.875  0.876  0.501

Energy above the lowest structure with this stoichiometry, eV/f.u.: 1.41
Total magnetization, μB/f.u.: 0.00
Energy relative to the elements, eV per atom: 0.042
Density of states at the Fermi level, states/eV/cell: 3.74

***

# 9
VASP calculation (PBE-GGA) on an optimized crystal structure of LiCu8Pd6.

Lattice parameters (Å, degrees): 6.554 6.554 6.554 64.06 64.06 64.06
Atoms (fractional coordinates):
Li  0.000  0.000  0.000
Cu  0.123  0.452  0.820
Cu  0.180  0.877  0.548
Cu  0.244  0.244  0.244
Cu  0.452  0.820  0.123
Cu  0.548  0.180  0.877
Cu  0.756  0.756  0.756
Cu  0.820  0.123  0.452
Cu  0.877  0.548  0.180
Pd  0.125  0.645  0.357
Pd  0.355  0.643  0.875
Pd  0.357  0.125  0.645
Pd  0.643  0.875  0.355
Pd  0.645  0.357  0.125
Pd  0.875  0.355  0.643

Energy above the lowest structure with this stoichiometry, eV/f.u.: 0.00
Total magnetization, μB/f.u.: 0.00
Energy relative to the elements, eV per atom: 0.020
Density of states at the Fermi level, states/eV/cell: 7.40

***

# 10
VASP calculation (PBE-GGA) on an optimized crystal structure of LiCu6Pd2.

Lattice parameters (Å, degrees): 4.910 4.910 5.661 90.21 90.21 59.96
Atoms (fractional coordinates):
Li  0.000  0.000  0.000
Cu  0.171  0.171  0.327
Cu  0.171  0.660  0.326
Cu  0.340  0.829  0.674
Cu  0.660  0.171  0.326
Cu  0.829  0.340  0.674
Cu  0.829  0.829  0.673
Pd  0.333  0.333  0.906
Pd  0.667  0.667  0.094

Energy above the lowest structure with this stoichiometry, eV/f.u.: 0.32
Total magnetization, μB/f.u.: 0.00
Energy relative to the elements, eV per atom: 0.014
Density of states at the Fermi level, states/eV/cell: 3.85

***

# 11
VASP calculation (PBE-GGA) on an optimized crystal structure of Li2Cu5Pd4.

Lattice parameters (Å, degrees): 8.934 8.934 6.502 97.05 97.05 17.23
Atoms (fractional coordinates):
Li  0.084  0.084  0.185
Li  0.916  0.916  0.815
Cu  0.000  0.000  0.500
Cu  0.313  0.313  0.034
Cu  0.369  0.369  0.451
Cu  0.631  0.631  0.549
Cu  0.687  0.687  0.966
Pd  0.222  0.222  0.320
Pd  0.456  0.456  0.163
Pd  0.544  0.544  0.837
Pd  0.778  0.778  0.680

Energy above the lowest structure with this stoichiometry, eV/f.u.: 0.73
Total magnetization, μB/f.u.: 0.00
Energy relative to the elements, eV per atom: -0.104
Density of states at the Fermi level, states/eV/cell: 3.41

***

# 12
VASP calculation (PBE-GGA) on an optimized crystal structure of LiCu2Pd.

Lattice parameters (Å, degrees): 2.992 2.992 5.825 90.00 90.00 90.00
Atoms (fractional coordinates):
Li  0.000  0.000  0.000
Cu  0.500  0.500  0.233
Cu  0.500  0.500  0.767
Pd  0.000  0.000  0.500

Total magnetization, μB/f.u.: 0.00
Energy relative to the elements, eV per atom: -0.104
Density of states at the Fermi level, states/eV/cell: 1.43